The following is a PBE calculation of a relaxed LiReHg3Te4 crystal, from the Open Quantum Materials Database.

## Properties
Calculated volume: 309.96 Å³/f.u.
Space-group type: P-43m (215)
Electronic total energy: -2.7942 eV/atom

The structure in POSCAR format:
```
LiReHg3Te4
1.0
-1.725 3.843 5.297
-6.138 -2.849 0.069
2.269 -4.787 4.212
Re Te Hg Li
1 4 3 1
direct
0.500 0.500 0.500
0.744 0.256 0.744
0.256 0.744 0.744
0.256 0.256 0.256
0.744 0.744 0.256
0.000 0.500 0.500
0.500 0.000 0.500
0.500 0.500 0.000
0.000 0.000 0.000
```